No. 1
Here is Li5MnPd4 after structural relaxation from the Alexandria database. Energies are from GGA-PBE.

Computed properties:
The value obtained for the energy is -41.6 eV per cell. The symmetry is C2/m (12). Its total magnetization is 0.441 μB per atom. The formation energy comes out at -213 meV per atom. The calculation puts the density of states at the Fermi level at 0.257 states/eV per atom. Its crystal system is monoclinic.

a = 6.883 Å, b = 6.883 Å, c = 5.882 Å
α = 90.03°, β = 90.03°, γ = 36.61°
Positions (direct):
Li 0.000 0.000 0.000
Li 0.328 0.328 0.494
Li 0.332 0.332 0.018
Li 0.668 0.668 0.982
Li 0.672 0.672 0.506
Mn 0.000 0.000 0.500
Pd 0.159 0.159 0.243
Pd 0.489 0.489 0.750
Pd 0.511 0.511 0.250
Pd 0.841 0.841 0.757

No. 2
Here is PrSmScAg after structural relaxation from the Alexandria database. Energies are from GGA-PBE.

Computed properties:
The value obtained for the energy is -19.1 eV per cell. The symmetry is P4mm (99). Its total magnetization is 0.000 μB per atom. The energy above the most stable polymorph in this dataset is 0 meV per atom. The formation energy comes out at -95 meV per atom. The calculation puts the density of states at the Fermi level at 1.485 states/eV per atom. Its crystal system is tetragonal.

a = 3.590 Å, b = 3.590 Å, c = 8.581 Å
α = 90.00°, β = 90.00°, γ = 90.00°
Positions (direct):
Pr 0.000 0.000 0.000
Sm 0.500 0.500 0.689
Sc 0.500 0.500 0.279
Ag 0.000 0.000 0.453

No. 3
Here is SiAg2Cl after structural relaxation from the Alexandria database. Energies are from GGA-PBE.

Computed properties:
The value obtained for the energy is -12.7 eV per cell. The symmetry is Imm2 (44). Its total magnetization is 0.000 μB per atom. The energy above the most stable polymorph in this dataset is 53 meV per atom. The calculation puts the density of states at the Fermi level at 0.319 states/eV per atom. Its crystal system is orthorhombic.

a = 7.856 Å, b = 7.856 Å, c = 7.856 Å
α = 156.99°, β = 155.62°, γ = 33.77°
Positions (direct):
Si 0.000 0.000 0.000
Ag 0.595 0.595 0.000
Ag 0.864 0.364 0.500
Cl 0.248 0.748 0.500

No. 4
Here is Sb3RuO after structural relaxation from the Alexandria database. Energies are from GGA-PBE.

Computed properties:
The value obtained for the energy is -23.0 eV per cell. The symmetry is Pm-3m (221). Its total magnetization is 0.000 μB per atom. The energy above the most stable polymorph in this dataset is 438 meV per atom. The calculation puts the density of states at the Fermi level at 1.217 states/eV per atom. Its crystal system is cubic.

a = 5.064 Å, b = 5.064 Å, c = 5.064 Å
α = 90.00°, β = 90.00°, γ = 90.00°
Positions (direct):
Sb 0.000 0.000 0.500
Sb 0.000 0.500 0.000
Sb 0.500 0.000 0.000
Ru 0.000 0.000 0.000
O 0.500 0.500 0.500

No. 5
Here is Tm2AlC2 after structural relaxation from the Alexandria database. Energies are from GGA-PBE.

Computed properties:
The value obtained for the energy is -65.7 eV per cell. The symmetry is C2/m (12). Its total magnetization is 0.054 μB per atom. The formation energy comes out at -341 meV per atom. The calculation puts the density of states at the Fermi level at 0.515 states/eV per atom. Its crystal system is monoclinic.

a = 6.073 Å, b = 6.073 Å, c = 6.769 Å
α = 116.60°, β = 116.60°, γ = 48.55°
Positions (direct):
Tm 0.032 0.032 0.264
Tm 0.329 0.329 0.912
Tm 0.671 0.671 0.088
Tm 0.968 0.968 0.736
Al 0.365 0.365 0.373
Al 0.635 0.635 0.627
C 0.176 0.176 0.100
C 0.477 0.477 0.716
C 0.523 0.523 0.284
C 0.824 0.824 0.900

No. 6
Here is NaCdGa2Pt after structural relaxation from the Alexandria database. Energies are from GGA-PBE.

Computed properties:
The value obtained for the energy is -15.5 eV per cell. The symmetry is P4/mmm (123). Its total magnetization is 0.000 μB per atom. The energy above the most stable polymorph in this dataset is 0 meV per atom. The formation energy comes out at -244 meV per atom. The calculation puts the density of states at the Fermi level at 0.531 states/eV per atom. Its crystal system is tetragonal.

a = 4.842 Å, b = 4.842 Å, c = 5.308 Å
α = 90.00°, β = 90.00°, γ = 90.00°
Positions (direct):
Na 0.000 0.000 0.000
Cd 0.500 0.500 0.000
Ga 0.000 0.500 0.500
Ga 0.500 0.000 0.500
Pt 0.500 0.500 0.500

No. 7
Here is Ag4HgAu2 after structural relaxation from the Alexandria database. Energies are from GGA-PBE.

Computed properties:
The value obtained for the energy is -17.7 eV per cell. The symmetry is I4/mmm (139). Its total magnetization is 0.000 μB per atom. The formation energy comes out at 79 meV per atom. The calculation puts the density of states at the Fermi level at 0.316 states/eV per atom. Its crystal system is tetragonal.

a = 5.725 Å, b = 5.725 Å, c = 5.725 Å
α = 103.43°, β = 103.43°, γ = 122.39°
Positions (direct):
Ag 0.202 0.202 0.405
Ag 0.202 0.798 0.000
Ag 0.798 0.202 0.000
Ag 0.798 0.798 0.595
Hg 0.500 0.500 0.000
Au 0.250 0.750 0.500
Au 0.750 0.250 0.500

No. 8
Here is LuTiPb after structural relaxation from the Alexandria database. Energies are from GGA-PBE.

Computed properties:
The value obtained for the energy is -16.0 eV per cell. The symmetry is P3m1 (156). Its total magnetization is 0.714 μB per atom. The energy above the most stable polymorph in this dataset is 89 meV per atom. The formation energy comes out at 30 meV per atom. The calculation puts the density of states at the Fermi level at 1.115 states/eV per atom. Its crystal system is trigonal.

a = 5.031 Å, b = 5.031 Å, c = 3.328 Å
α = 90.00°, β = 90.00°, γ = 120.00°
Positions (direct):
Lu 0.000 0.000 0.000
Ti 0.667 0.333 0.498
Pb 0.333 0.667 0.501

No. 9
Here is KInFe2 after structural relaxation from the Alexandria database. Energies are from GGA-PBE.

Computed properties:
The value obtained for the energy is -17.0 eV per cell. The symmetry is Immm (71). Its total magnetization is 1.360 μB per atom. The formation energy comes out at 951 meV per atom. The calculation puts the density of states at the Fermi level at 1.176 states/eV per atom. Its crystal system is orthorhombic.

a = 6.218 Å, b = 6.218 Å, c = 6.218 Å
α = 153.37°, β = 126.86°, γ = 60.41°
Positions (direct):
K 0.000 0.000 0.000
In 0.500 0.500 0.000
Fe 0.281 0.781 0.500
Fe 0.719 0.219 0.500

No. 10
Here is Ba2YHo3O8 after structural relaxation from the Alexandria database. Energies are from GGA-PBE.

Computed properties:
The value obtained for the energy is -108.0 eV per cell. The symmetry is R3m (160). Its total magnetization is 0.000 μB per atom. The calculation puts the density of states at the Fermi level at 0.000 states/eV per atom. Its crystal system is trigonal.

a = 7.245 Å, b = 7.245 Å, c = 7.245 Å
α = 57.58°, β = 57.58°, γ = 57.58°
Positions (direct):
Ba 0.000 0.000 0.000
Ba 0.378 0.378 0.378
Y 0.618 0.618 0.618
Ho 0.004 0.004 0.492
Ho 0.004 0.492 0.004
Ho 0.492 0.004 0.004
O 0.231 0.231 0.231
O 0.238 0.738 0.738
O 0.251 0.251 0.811
O 0.251 0.811 0.251
O 0.738 0.238 0.738
O 0.738 0.738 0.238
O 0.757 0.757 0.757
O 0.811 0.251 0.251

No. 11
Here is NaCaLa2Ni after structural relaxation from the Alexandria database. Energies are from GGA-PBE.

Computed properties:
The value obtained for the energy is -19.2 eV per cell. The symmetry is P4/mmm (123). Its total magnetization is 0.000 μB per atom. The energy above the most stable polymorph in this dataset is 0 meV per atom. The formation energy comes out at -44 meV per atom. The calculation puts the density of states at the Fermi level at 1.098 states/eV per atom. Its crystal system is tetragonal.

a = 5.461 Å, b = 5.461 Å, c = 5.872 Å
α = 90.00°, β = 90.00°, γ = 90.00°
Positions (direct):
Na 0.000 0.000 0.000
Ca 0.500 0.500 0.000
La 0.000 0.500 0.500
La 0.500 0.000 0.500
Ni 0.500 0.500 0.500

No. 12
Here is Tb2TlGe after structural relaxation from the Alexandria database. Energies are from GGA-PBE.

Computed properties:
The value obtained for the energy is -18.2 eV per cell. The symmetry is R-3m (166). Its total magnetization is 0.000 μB per atom. The formation energy comes out at -491 meV per atom. The calculation puts the density of states at the Fermi level at 0.959 states/eV per atom. Its crystal system is trigonal.

a = 8.073 Å, b = 8.073 Å, c = 8.073 Å
α = 29.79°, β = 29.79°, γ = 29.79°
Positions (direct):
Tb 0.235 0.235 0.235
Tb 0.765 0.765 0.765
Tl 0.000 0.000 0.000
Ge 0.500 0.500 0.500

Which of these has the lowest energy?
Ba2YHo3O8

Number 8 is which compound?
LuTiPb

The lowest energy belongs to which entry?
Ba2YHo3O8

energy of number 9 (KInFe2)?
-17.0 eV per cell